# Mg2Zn2Ag | Alexandria via LeMat-Bulk | PBE | optimized geometry
data_Mg2Zn2Ag
_chemical_formula_sum 'Mg4 Zn4 Ag2'
_symmetry_space_group_name_H-M 'I 4/m m m'
_symmetry_Int_Tables_number 139
_symmetry_space_group_name_Hall '-I 4 2'
_cell_length_a 4.0475
_cell_length_b 4.0475
_cell_length_c 12.3304
_cell_angle_alpha 90.00
_cell_angle_beta 90.00
_cell_angle_gamma 90.00
loop_
_atom_site_label
_atom_site_type_symbol
_atom_site_fract_x
_atom_site_fract_y
_atom_site_fract_z
_atom_site_occupancy
Mg1 Mg 0.0000 0.5000 0.2500 1
Zn1 Zn 0.0000 0.0000 0.0965 1
Ag1 Ag 0.0000 0.0000 0.5000 1
# relative energy among the computed polymorphs = 7.091 kcal/mol of atoms
# total DFT energy (no corrections) = -1.527 eV/atom